[1]
Density functional theory data (PBE) for a relaxed structure of Y2Hf4Bi3C3.

Properties
* spin magnetization: 0.00 μB per atom
* E_tot: -8.31 eV/atom

abc: 6.0684 6.0684 15.2230
angles: 101.55 101.55 60.03
Atoms (fractional coordinates):
1 Y 0.0311 0.8717 0.5920
2 Y 0.1283 0.9689 0.9080
3 Y 0.8717 0.0311 0.0920
4 Y 0.9689 0.1283 0.4080
5 Hf 0.1935 0.3514 0.0772
6 Hf 0.2997 0.4815 0.4228
7 Hf 0.3514 0.1935 0.5772
8 Hf 0.4815 0.2997 0.9228
9 Hf 0.5185 0.7003 0.0772
10 Hf 0.6486 0.8065 0.4228
11 Hf 0.7003 0.5185 0.5772
12 Hf 0.8065 0.6486 0.9228
13 Bi 0.0851 0.2788 0.7514
14 Bi 0.2788 0.0851 0.2514
15 Bi 0.4456 0.5544 0.7500
16 Bi 0.5544 0.4456 0.2500
17 Bi 0.7212 0.9149 0.7486
18 Bi 0.9149 0.7212 0.2486
19 C 0.0000 0.5000 0.5000
20 C 0.1769 0.6457 0.0000
21 C 0.3543 0.8231 0.5000
22 C 0.5000 0.0000 0.0000
23 C 0.6457 0.1769 0.5000
24 C 0.8231 0.3543 0.0000



[2]
Density functional theory data (PBE) for a relaxed structure of Y4Hf2Bi3C3.

Properties
* spin magnetization: 0.00 μB per atom
* E_tot: -7.74 eV/atom

abc: 6.2144 6.2144 15.5854
angles: 101.83 101.83 60.18
Atoms (fractional coordinates):
1 Y 0.0365 0.1913 0.0885
2 Y 0.1294 0.3037 0.4115
3 Y 0.1913 0.0365 0.5885
4 Y 0.3037 0.1294 0.9115
5 Y 0.6963 0.8706 0.0885
6 Y 0.8087 0.9635 0.4115
7 Y 0.8706 0.6963 0.5885
8 Y 0.9635 0.8087 0.9115
9 Hf 0.3535 0.5255 0.0750
10 Hf 0.4745 0.6465 0.4250
11 Hf 0.5255 0.3535 0.5750
12 Hf 0.6465 0.4745 0.9250
13 Bi 0.1054 0.8946 0.2500
14 Bi 0.2729 0.4158 0.7520
15 Bi 0.4158 0.2729 0.2520
16 Bi 0.5842 0.7271 0.7480
17 Bi 0.7271 0.5842 0.2480
18 Bi 0.8946 0.1054 0.7500
19 C 0.0000 0.5000 0.0000
20 C 0.1977 0.6515 0.5000
21 C 0.3485 0.8023 0.0000
22 C 0.5000 0.0000 0.5000
23 C 0.6515 0.1977 0.0000
24 C 0.8023 0.3485 0.5000



[3]
Density functional theory data (PBE) for a relaxed structure of Ho4Bi2C.

Properties
* spin magnetization: 0.00 μB per atom
* E_tot: -5.74 eV/atom

abc: 8.6575 8.6575 8.6575
angles: 147.60 147.60 46.47
Atoms (fractional coordinates):
1 Ho 0.0000 0.5000 0.5000
2 Ho 0.1522 0.1522 0.0000
3 Ho 0.5000 0.0000 0.5000
4 Ho 0.8478 0.8478 0.0000
5 Bi 0.3551 0.3551 0.0000
6 Bi 0.6449 0.6449 0.0000
7 C 0.0000 0.0000 0.0000



[4]
Density functional theory data (PBE) for a relaxed structure of Zr4InBiC2.

Properties
* spin magnetization: 0.00 μB per atom
* E_tot: -8.10 eV/atom

abc: 3.4166 3.4166 14.8625
angles: 90.00 90.00 120.00
Atoms (fractional coordinates):
1 Zr 0.0000 0.0000 0.1668
2 Zr 0.0000 0.0000 0.8332
3 Zr 0.3333 0.6667 0.3316
4 Zr 0.3333 0.6667 0.6684
5 In 0.0000 0.0000 0.5000
6 Bi 0.3333 0.6667 0.0000
7 C 0.6667 0.3333 0.2495
8 C 0.6667 0.3333 0.7505